# 1
A plane-wave DFT calculation with meta-GGA SCAN was carried out for a crystal of ZnTeRhN2 relaxed with PBEsol.

Unit cell a=3.786 b=3.786 c=5.670 alpha=90.00 beta=90.00 gamma=90.00
Space group P4/mmm (No. 123)
Symmetry-distinct sites (fractional):
Zn  0.000  0.000  0.000 [1 per cell]
Te  0.500  0.500  0.000 [1 per cell]
Rh  0.500  0.500  0.500 [1 per cell]
N  0.000  0.500  0.500 [2 per cell]

* E_tot: -98.6 eV/f.u.
* DOS at the Fermi energy: 0.54 states/eV per atom
* calculated volume: 16.26 A^3/atom
* ρ: 6.617 g/cm3

# 2
A plane-wave DFT calculation with meta-GGA SCAN was carried out for a crystal of Ti2Rh2N relaxed with PBEsol.

Unit cell a=3.331 b=3.331 c=13.076 alpha=90.00 beta=90.00 gamma=90.00
Space group I4/mmm (No. 139)
Symmetry-distinct sites (fractional):
Ti  0.000  0.000  0.094 [4 per cell]
Rh  0.000  0.500  0.250 [4 per cell]
N  0.000  0.000  0.500 [2 per cell]

* E_tot: -107.7 eV/f.u.
* DOS at the Fermi energy: 0.84 states/eV per atom
* calculated volume: 14.50 A^3/atom
* ρ: 7.225 g/cm3

Number 1: uncorrected formation energy 4.49 eV per formula unit. Number 2: uncorrected formation energy 1.21 eV per formula unit.